No. 1
# BaU4Pt3Se12 (PBE-GGA, relaxed)
# Formation energy from raw total energies, eV/f.u.: -16.70
# Total DFT energy (no corrections), eV per atom: -6.19
data_BaU4Pt3Se12
_chemical_formula_sum 'Ba2 U8 Pt6 Se24'
_cell_length_a 10.2889
_cell_length_b 10.2889
_cell_length_c 10.2889
_cell_angle_alpha 90.00
_cell_angle_beta 90.00
_cell_angle_gamma 90.00
_space_group_name_H-M_alt 'I m -3'
_space_group_IT_number 204
_space_group_name_Hall '-I 2 2 3'
loop_
_atom_site_label
_atom_site_fract_x
_atom_site_fract_y
_atom_site_fract_z
Ba1 0.0000 0.0000 0.0000
U1 0.2500 0.2500 0.2500
Pt1 0.0000 0.0000 0.5000
Se1 0.0000 0.1589 0.3164

No. 2
# Tl2CrRe (PBE-GGA, relaxed)
# Total DFT energy (no corrections), eV per atom: -5.74
# Offset from the most stable computed form, eV per atom: 0.447
data_Tl2CrRe
_chemical_formula_sum 'Tl4 Cr2 Re2'
_cell_length_a 9.4264
_cell_length_b 3.0401
_cell_length_c 5.4603
_cell_angle_alpha 90.00
_cell_angle_beta 100.31
_cell_angle_gamma 90.00
_space_group_name_H-M_alt 'C 1 2/m 1'
_space_group_IT_number 12
_space_group_name_Hall '-C 2y'
loop_
_atom_site_label
_atom_site_fract_x
_atom_site_fract_y
_atom_site_fract_z
Tl1 0.2495 0.0000 0.2483
Cr1 0.0000 0.0000 0.5000
Re1 0.0000 0.5000 0.0000

No. 3
# Ac8Tb2Y (PBE-GGA, relaxed)
# Total DFT energy (no corrections), eV per atom: -4.37
data_Ac8Tb2Y
_chemical_formula_sum 'Ac16 Tb4 Y2'
_cell_length_a 19.6259
_cell_length_b 5.5416
_cell_length_c 8.6792
_cell_angle_alpha 90.00
_cell_angle_beta 105.53
_cell_angle_gamma 90.00
_space_group_name_H-M_alt 'C 1 2/m 1'
_space_group_IT_number 12
_space_group_name_Hall '-C 2y'
loop_
_atom_site_label
_atom_site_fract_x
_atom_site_fract_y
_atom_site_fract_z
Ac1 0.0473 0.0000 0.2293
Ac2 0.0943 0.5000 0.9534
Ac3 0.1387 0.0000 0.6909
Ac4 0.1818 0.5000 0.4152
Tb1 0.2264 0.0000 0.1325
Y1 0.0000 0.5000 0.5000

No. 4
# AcLaSm (PBE-GGA, relaxed)
# Total DFT energy (no corrections), eV per atom: -4.55
# Offset from the most stable computed form, eV per atom: 0.005
data_AcLaSm
_chemical_formula_sum 'Ac2 La2 Sm2'
_cell_length_a 3.8214
_cell_length_b 3.8214
_cell_length_c 15.8648
_cell_angle_alpha 90.00
_cell_angle_beta 90.00
_cell_angle_gamma 90.00
_space_group_name_H-M_alt 'I 4 m m'
_space_group_IT_number 107
_space_group_name_Hall 'I 4 -2'
loop_
_atom_site_label
_atom_site_fract_x
_atom_site_fract_y
_atom_site_fract_z
Ac1 0.0000 0.0000 0.0000
La1 0.0000 0.0000 0.3258
Sm1 0.0000 0.0000 0.6683

No. 5
# Be2WSe (PBE-GGA, relaxed)
# Formation energy from raw total energies, eV/f.u.: 1.80
# Total DFT energy (no corrections), eV per atom: -5.52
data_Be2WSe
_chemical_formula_sum 'Be2 W1 Se1'
_cell_length_a 3.3182
_cell_length_b 3.4294
_cell_length_c 4.4750
_cell_angle_alpha 90.00
_cell_angle_beta 90.00
_cell_angle_gamma 90.00
_space_group_name_H-M_alt 'P m m m'
_space_group_IT_number 47
_space_group_name_Hall '-P 2 2'
loop_
_atom_site_label
_atom_site_fract_x
_atom_site_fract_y
_atom_site_fract_z
Be1 0.0000 0.0000 0.0000
Be2 0.0000 0.5000 0.5000
W1 0.5000 0.0000 0.5000
Se1 0.5000 0.5000 0.0000

No. 6
# Mg2ZnOs (PBE-GGA, relaxed)
# Total DFT energy (no corrections), eV per atom: -3.44
data_Mg2ZnOs
_chemical_formula_sum 'Mg8 Zn4 Os4'
_cell_length_a 7.1583
_cell_length_b 7.1583
_cell_length_c 5.3289
_cell_angle_alpha 90.00
_cell_angle_beta 90.00
_cell_angle_gamma 90.00
_space_group_name_H-M_alt 'I -4 2 d'
_space_group_IT_number 122
_space_group_name_Hall 'I -4 2bw'
loop_
_atom_site_label
_atom_site_fract_x
_atom_site_fract_y
_atom_site_fract_z
Mg1 0.2409 0.7500 0.1250
Zn1 0.0000 0.0000 0.0000
Os1 0.0000 0.0000 0.5000

No. 7
# Ce2MgZn4 (PBE-GGA, relaxed)
# Total DFT energy (no corrections), eV per atom: -2.44
data_Ce2MgZn4
_chemical_formula_sum 'Ce4 Mg2 Zn8'
_cell_length_a 4.7840
_cell_length_b 4.7840
_cell_length_c 15.5139
_cell_angle_alpha 90.00
_cell_angle_beta 90.00
_cell_angle_gamma 90.00
_space_group_name_H-M_alt 'I 4/m m m'
_space_group_IT_number 139
_space_group_name_Hall '-I 4 2'
loop_
_atom_site_label
_atom_site_fract_x
_atom_site_fract_y
_atom_site_fract_z
Ce1 0.0000 0.0000 0.1316
Mg1 0.0000 0.0000 0.5000
Zn1 0.0000 0.0000 0.3267
Zn2 0.0000 0.5000 0.0000

No. 8
# MgMo2Br2 (PBE-GGA, relaxed)
# Formation energy from raw total energies, eV/f.u.: 4.16
# Total DFT energy (no corrections), eV per atom: -4.49
# Offset from the most stable computed form, eV per atom: 0.276
data_MgMo2Br2
_chemical_formula_sum 'Mg2 Mo4 Br4'
_cell_length_a 8.1817
_cell_length_b 8.1817
_cell_length_c 3.2682
_cell_angle_alpha 90.00
_cell_angle_beta 90.00
_cell_angle_gamma 90.00
_space_group_name_H-M_alt 'P 4/m b m'
_space_group_IT_number 127
_space_group_name_Hall '-P 4 2ab'
loop_
_atom_site_label
_atom_site_fract_x
_atom_site_fract_y
_atom_site_fract_z
Mg1 0.0000 0.0000 0.0000
Mo1 0.0957 0.4043 0.0000
Br1 0.1805 0.6805 0.5000